First-principles (PBE-GGA) data for Tb3PrAu2 after structural relaxation, as listed in the Alexandria database.

```
Tb3PrAu2
1.0
5.244 0.000 0.000
-2.622 9.054 -0.504
0.000 -4.589 7.307
Tb Pr Au
6 2 4
Cartesian
0.000 2.727 4.146
2.622 5.138 3.982
2.622 -1.133 5.293
0.000 5.598 1.511
0.000 -0.673 2.821
2.622 1.738 2.658
2.622 2.343 6.442
0.000 2.122 0.362
0.000 5.182 5.591
2.622 -0.717 1.212
2.622 4.264 1.106
0.000 0.202 5.697
```

Results
energy = -56.3 eV for the cell shown
formation energy from the elements = -2.9 eV/f.u.
distance to the lowest polymorph of the same formula = 114 meV/atom
magnetization = 0.00 μB per cell

=====

First-principles (PBE-GGA) data for NpSnTe after structural relaxation, as listed in the Alexandria database.

```
NpSnTe
1.0
-2.053 -0.024 2.441
-3.185 -2.458 -2.704
3.503 -12.429 2.827
Sn Te Np
2 2 2
Cartesian
-2.368 -7.657 1.060
0.632 -7.253 1.504
2.218 -10.738 2.804
-3.953 -4.173 -0.240
-0.116 -10.338 0.845
-1.619 -4.572 1.720
```

Results
energy = -39.6 eV for the cell shown
magnetization = 9.33 μB per cell

=====

First-principles (PBE-GGA) data for RbZrGaBr6 after structural relaxation, as listed in the Alexandria database.

```
RbZrGaBr6
1.0
-6.616 3.355 1.763
0.475 -4.504 -6.134
-3.638 -11.439 8.116
Rb Zr Ga Br
2 2 2 12
Cartesian
0.000 0.000 0.000
-1.819 -5.720 4.058
-5.162 -2.124 1.160
-4.617 -10.463 2.585
-2.798 -4.744 -1.473
-6.981 -7.844 5.218
-4.553 -2.209 -1.427
-6.698 0.003 0.729
-4.185 -10.517 -0.038
-3.082 -12.591 3.017
-3.705 -4.330 1.445
-7.343 -3.608 0.831
-6.701 -12.057 2.147
-5.594 -2.070 3.783
-2.436 -8.979 2.914
-3.079 -0.531 1.598
-6.075 -8.258 2.300
-5.226 -10.379 5.172
```

Results
energy = -68.7 eV for the cell shown
magnetization = 0.00 μB per cell

=====

First-principles (PBE-GGA) data for WS2Cl6 after structural relaxation, as listed in the Alexandria database.

```
WS2Cl6
1.0
-3.871 -4.292 5.197
3.000 -1.181 7.072
-3.714 4.251 6.556
W S Cl
1 2 6
Cartesian
-0.790 -3.277 8.331
-3.693 1.875 10.422
-2.820 0.325 9.793
-1.335 -1.430 7.041
0.003 -1.876 9.998
-2.898 -3.225 9.292
-2.399 0.933 13.934
-3.970 -0.864 16.181
-5.302 -0.412 13.220
```

Results
energy = -37.2 eV for the cell shown
magnetization = 2.15 μB per cell

=====

First-principles (PBE-GGA) data for Ac2LaSmTm after structural relaxation, as listed in the Alexandria database.

```
Ac2LaSmTm
1.0
-6.397 0.250 -2.370
-0.153 -8.860 -0.523
-2.267 -0.320 6.085
Ac La Sm Tm
4 2 2 2
Cartesian
-6.389 -6.323 2.497
-6.326 -2.659 2.713
-2.490 -6.271 0.479
-2.427 -2.607 0.695
-4.285 0.065 0.144
-4.379 -0.135 3.571
-2.980 -4.623 3.856
-5.837 -4.307 -0.665
0.000 0.000 0.000
-1.134 -0.160 3.042
```

Results
energy = -42.3 eV for the cell shown
formation energy from the elements = 1.2 eV/f.u.
magnetization = 0.00 μB per cell

=====

First-principles (PBE-GGA) data for MgBe2O after structural relaxation, as listed in the Alexandria database.

```
MgBe2O
1.0
5.225 0.000 0.000
0.000 5.225 0.000
2.613 2.613 3.638
Be Mg O
4 2 2
Cartesian
3.072 1.306 0.910
2.154 3.919 0.910
3.919 4.766 2.729
6.532 5.684 2.729
0.000 0.000 0.000
5.225 2.613 1.819
2.613 2.613 0.000
2.613 5.225 1.819
```

Results
energy = -33.5 eV for the cell shown
distance to the lowest polymorph of the same formula = 0 meV/atom
magnetization = 0.00 μB per cell

=====

First-principles (PBE-GGA) data for MgH2O2 after structural relaxation, as listed in the Alexandria database.

```
MgH2O2
1.0
-0.660 1.494 -2.084
-0.623 -2.181 -1.367
-4.714 -0.099 -0.260
H Mg O
2 1 2
Cartesian
-3.008 0.526 -2.035
-2.989 -1.312 -1.676
0.000 0.000 0.000
-1.819 -0.273 -1.302
-4.177 -0.513 -2.409
```

Results
energy = -21.9 eV for the cell shown
magnetization = 0.00 μB per cell

=====

First-principles (PBE-GGA) data for SrFe3S after structural relaxation, as listed in the Alexandria database.

```
SrFe3S
1.0
-2.492 3.204 -2.624
-2.791 0.963 3.826
3.059 3.488 1.354
Sr S Fe
1 1 3
Cartesian
0.000 0.000 0.000
-1.112 3.827 1.278
-1.395 0.481 1.913
1.530 1.744 0.677
-1.246 1.602 -1.312
```

Results
energy = -19.5 eV for the cell shown
distance to the lowest polymorph of the same formula = 2160 meV/atom
magnetization = 7.94 μB per cell